# Zn2MoIr (GGA-PBE, relaxed)
data_Zn2MoIr
_chemical_formula_sum 'Zn2 Mo1 Ir1'
_symmetry_space_group_name_H-M 'P 4/m m m'
_symmetry_Int_Tables_number 123
_symmetry_space_group_name_Hall '-P 4 2'
_cell_length_a 2.916
_cell_length_b 2.916
_cell_length_c 6.820
_cell_angle_alpha 90.00
_cell_angle_beta 90.00
_cell_angle_gamma 90.00
loop_
_atom_site_label
_atom_site_type_symbol
_atom_site_fract_x
_atom_site_fract_y
_atom_site_fract_z
_atom_site_occupancy
Zn1 Zn 0.000 0.000 0.234 1
Mo1 Mo 0.500 0.500 0.500 1
Ir1 Ir 0.500 0.500 0.000 1
# energy of formation from the pure elements	0.1014	eV/atom
# energy relative to the lowest polymorph listed for this composition	24.55	kJ/mol of atoms
# total magnetic moment	0.000	μB/cell
# calculated density	12.00	g/cm³
# DFT total energy	-5.459	eV/atom